First-principles (GGA-PBE) data for an optimized crystal structure of Nb4BPt2, as listed in Alexandria via LeMat-Bulk.

Volume (Å³/atom): 17.5
Spin magnetization (μB per formula unit): 0.00
Energy of formation (meV per atom): -171
N(E_F) (states/eV per atom): 0.91
Final energy (eV/atom): -8.605

Cell lengths 7.291, 7.291, 7.291 Å; angles 145.73, 145.73, 49.24 degrees
Fractional positions:
Nb: 0.000 0.500 0.500
Nb: 0.172 0.172 0.000
Nb: 0.500 0.000 0.500
Nb: 0.828 0.828 0.000
B: 0.000 0.000 0.000
Pt: 0.365 0.365 0.000
Pt: 0.635 0.635 0.000